# 1
The following is a DFT calculation (PBE) of a relaxed structure of BaAs2Pt.

Computed properties:
magnetization	0.00	Bohr magnetons per cell
formation energy	-0.23	eV/atom

Cell and atoms, written as extended XYZ:
```
4
Lattice="-2.1053 -2.4746 -1.5618 -1.2499 -0.9796 3.2371 -5.2407 4.8159 -0.5662" Properties=species:S:1:pos:R:3 pbc="T T T"
As -4.8275 4.4362 -0.5215
As -3.0335 2.7876 -0.3277
Ba -2.9878 -0.5231 0.6961
Pt -5.6081 1.8848 0.4130
```

# 2
The following is a DFT calculation (PBE) of a relaxed structure of NbAlNiIr2.

Computed properties:
magnetization	0.00	Bohr magnetons per cell
formation energy	1.19	eV/atom

Cell and atoms, written as extended XYZ:
```
5
Lattice="4.3846 0.0000 0.0000 0.0000 4.6824 0.0000 0.0000 0.0000 4.3846" Properties=species:S:1:pos:R:3 pbc="T T T"
Ni 2.1923 2.3412 2.1923
Nb 0.0000 2.3412 0.0000
Ir 0.0000 0.0000 2.1923
Ir 2.1923 0.0000 0.0000
Al 0.0000 0.0000 0.0000
```

# 3
The following is a DFT calculation (PBE) of a relaxed structure of VHg3Br.

Computed properties:
ΔE to the lowest computed polymorph	0.000	eV per atom
magnetization	3.89	Bohr magnetons per cell

Cell and atoms, written as extended XYZ:
```
5
Lattice="-4.3040 2.4330 -2.2964 -2.4936 0.1618 4.8449 2.2305 4.8756 0.9852" Properties=species:S:1:pos:R:3 pbc="T T T"
Hg -1.2468 0.0809 2.4225
Hg 1.1153 2.4378 0.4926
Hg -2.1520 1.2165 -1.1482
Br -2.2835 3.7352 1.7668
V 0.0000 0.0000 0.0000
```

# 4
The following is a DFT calculation (PBE) of a relaxed structure of Zr4CdOs.

Computed properties:
magnetization	0.00	Bohr magnetons per cell
formation energy	0.48	eV/atom

Cell and atoms, written as extended XYZ:
```
6
Lattice="-4.9345 -2.5584 0.8105 -4.7822 2.6476 -1.2932 -3.0438 -1.6919 -4.4073" Properties=species:S:1:pos:R:3 pbc="T T T"
Zr -7.2663 -1.8974 -1.4123
Zr -6.3059 -1.4572 -4.0628
Zr -7.1889 0.7471 -2.4809
Zr -4.7598 -0.5978 -1.8240
Cd -9.5703 -1.2020 -3.6675
Os 0.0000 0.0000 0.0000
```

# 5
The following is a DFT calculation (PBE) of a relaxed structure of PrMgRh.

Computed properties:
magnetization	0.00	Bohr magnetons per cell
formation energy	-0.59	eV/atom

Cell and atoms, written as extended XYZ:
```
18
Lattice="4.2008 0.0000 0.0000 0.0000 7.4399 0.0108 0.0000 -0.0052 12.8788" Properties=species:S:1:pos:R:3 pbc="T T T"
Pr 3.1506 4.0064 4.8728
Pr 1.0502 7.1272 9.2104
Pr 3.1506 0.3075 3.6791
Pr 3.1506 4.8782 1.0856
Pr 1.0502 3.4283 8.0168
Pr 1.0502 2.5565 11.8039
Mg 1.0502 0.0185 1.0813
Mg 1.0502 6.4342 5.9428
Mg 3.1506 4.7132 10.3103
Mg 3.1506 1.0005 6.9467
Mg 1.0502 2.7215 2.5792
Mg 3.1506 7.4162 11.8083
Rh 1.0502 5.6057 11.8520
Rh 3.1506 1.8965 9.6748
Rh 3.1506 5.6056 7.5185
Rh 3.1506 1.8290 1.0375
Rh 1.0502 1.8292 5.3710
Rh 1.0502 5.5382 3.2148
```

# 6
The following is a DFT calculation (PBE) of a relaxed structure of Pr2Nd3Sm4.

Computed properties:
ΔE to the lowest computed polymorph	0.000	eV per atom
magnetization	0.00	Bohr magnetons per cell
formation energy	0.01	eV/atom

Cell and atoms, written as extended XYZ:
```
9
Lattice="6.2950 -0.3485 -0.7582 -3.3532 4.3147 -3.2369 -1.6695 -0.8177 13.0712" Properties=species:S:1:pos:R:3 pbc="T T T"
Pr 2.4771 1.8475 1.9640
Pr -1.2048 1.3010 7.1122
Nd 2.0153 -0.2579 7.9435
Nd 0.0000 0.0000 0.0000
Nd -0.7430 3.4064 1.1327
Sm 3.0769 1.2100 -1.5870
Sm -1.8045 1.9385 10.6632
Sm 1.8741 2.5055 5.5287
Sm -0.6018 0.6430 3.5474
```

# 7
The following is a DFT calculation (PBE) of a relaxed structure of AlTcSnRh.

Computed properties:
magnetization	0.00	Bohr magnetons per cell
formation energy	-0.39	eV/atom

Cell and atoms, written as extended XYZ:
```
4
Lattice="-3.3063 -0.5571 2.9146 0.0102 -3.5072 2.7270 0.7482 0.5649 4.3426" Properties=species:S:1:pos:R:3 pbc="T T T"
Al -1.9109 -2.6246 7.4882
Rh -1.2740 -1.7497 4.9921
Sn -0.6370 -0.8749 2.4961
Tc 0.0000 0.0000 0.0000
```

# 8
The following is a DFT calculation (PBE) of a relaxed structure of CeMgCdPd.

Computed properties:
ΔE to the lowest computed polymorph	0.050	eV per atom
magnetization	0.71	Bohr magnetons per cell
formation energy	-0.38	eV/atom

Cell and atoms, written as extended XYZ:
```
4
Lattice="5.0129 0.0000 0.0000 2.5065 4.3413 0.0000 2.5065 1.4471 4.0931" Properties=species:S:1:pos:R:3 pbc="T T T"
Mg 5.0129 2.8942 2.0465
Pd 2.5065 1.4471 1.0233
Ce 0.0000 0.0000 0.0000
Cd 7.5194 4.3413 3.0698
```

# 9
The following is a DFT calculation (PBE) of a relaxed structure of Sm2Pu2N3.

Computed properties:
total DFT energy (no corrections)	-70.84	eV/cell
magnetization	11.51	Bohr magnetons per cell

Cell and atoms, written as extended XYZ:
```
7
Lattice="-3.1904 0.1397 -1.4414 -2.4775 -2.0348 5.2863 1.4660 5.7932 1.5751" Properties=species:S:1:pos:R:3 pbc="T T T"
Sm -3.8028 -0.2567 4.1337
Sm -0.3992 4.1548 1.2863
Pu -3.2707 3.1029 3.2818
Pu -0.9312 0.7952 2.1382
N 0.0000 0.0000 0.0000
N -2.3006 2.3667 1.0633
N -1.9013 1.5314 4.3567
```

# 10
The following is a DFT calculation (PBE) of a relaxed structure of Cd2Pt4Au.

Computed properties:
magnetization	0.00	Bohr magnetons per cell
formation energy	-0.05	eV/atom

Cell and atoms, written as extended XYZ:
```
7
Lattice="3.7649 0.0000 0.0000 0.0000 3.7649 0.0000 -1.8825 -1.8825 9.3787" Properties=species:S:1:pos:R:3 pbc="T T T"
Cd 1.8825 1.8825 1.8105
Cd 0.0000 0.0000 7.5683
Pt 0.0000 0.0000 2.6791
Pt 1.8825 1.8825 6.6996
Pt 1.8825 0.0000 4.6894
Pt 0.0000 1.8825 4.6894
Au 0.0000 0.0000 0.0000
```

# 11
The following is a DFT calculation (PBE) of a relaxed structure of Sm2Y2Bi5.

Computed properties:
magnetization	0.00	Bohr magnetons per cell
formation energy	-0.68	eV/atom

Cell and atoms, written as extended XYZ:
```
18
Lattice="-5.5444 -1.3777 6.3106 -3.7210 -6.7958 -4.7528 6.8868 -0.7775 5.8809" Properties=species:S:1:pos:R:3 pbc="T T T"
Sm -1.6815 -5.6387 -2.7083
Sm 0.8502 -3.3184 5.7638
Sm 4.8473 -1.9346 3.8364
Sm -3.2288 -5.6326 1.6749
Y -1.3999 -1.6405 2.3249
Y -0.9787 -7.3104 5.1138
Y -3.5682 -3.7739 5.6954
Y 1.1896 -5.1770 1.7433
Bi 0.0000 0.0000 0.0000
Bi -1.1893 -4.4755 3.7194
Bi 1.7511 -2.0163 2.8233
Bi -1.1750 -5.2583 7.5773
Bi -1.6516 -1.1968 5.7539
Bi 2.2277 -6.0779 4.6467
Bi -4.1297 -6.9347 4.6154
Bi -1.2035 -3.6926 -0.1385
Bi -0.7270 -7.7542 1.6848
Bi -4.6062 -2.8731 2.7921
```

# 12
The following is a DFT calculation (PBE) of a relaxed structure of Ca3Tl2N.

Computed properties:
total DFT energy (no corrections)	-20.68	eV/cell
magnetization	0.00	Bohr magnetons per cell

Cell and atoms, written as extended XYZ:
```
6
Lattice="5.2224 -0.3350 1.4366 1.0062 5.1355 1.4366 -0.4347 -0.3350 5.3989" Properties=species:S:1:pos:R:3 pbc="T T T"
Ca -0.2174 -0.1675 2.6994
Ca 2.6112 -0.1675 0.7183
Ca 0.5031 2.5677 0.7183
Tl 2.1777 1.6784 3.1092
Tl 3.6162 2.7870 5.1629
N 0.0000 0.0000 0.0000
```

no.,mass density (g cm⁻³)
1,8.6
2,10.4
3,7.5
4,8.8
5,6.6
6,7.0
7,9.3
8,7.1
9,11.0
10,15.0
11,8.9
12,5.9